# 1
A plane-wave DFT calculation with PBE-GGA was carried out for crystalline LiPm2Cd2 at its relaxed geometry.

Results
ΔH_f (0 K) (meV/atom): -184
E_tot (eV per atom): -2.83
Polymorph energy (0 for the lowest one) (meV/atom): 0
Symmetry: C2/c

Unit cell a=7.245 b=7.245 c=6.092 alpha=98.16 beta=98.16 gamma=54.20
Positions (direct):
1 Li 0.023 0.977 0.750
2 Li 0.977 0.023 0.250
3 Pm 0.237 0.516 0.429
4 Pm 0.484 0.763 0.071
5 Pm 0.516 0.237 0.929
6 Pm 0.763 0.484 0.571
7 Cd 0.020 0.300 0.061
8 Cd 0.300 0.020 0.561
9 Cd 0.700 0.980 0.439
10 Cd 0.980 0.700 0.939

***

# 2
A plane-wave DFT calculation with PBE-GGA was carried out for crystalline Li6PmCd2 at its relaxed geometry.

Results
ΔH_f (0 K) (meV/atom): -103
E_tot (eV per atom): -2.11
Symmetry: P4/mmm

Unit cell a=4.199 b=4.199 c=11.171 alpha=90.00 beta=90.00 gamma=90.00
Positions (direct):
1 Li 0.000 0.000 0.000
2 Li 0.000 0.500 0.201
3 Li 0.000 0.500 0.799
4 Li 0.500 0.000 0.201
5 Li 0.500 0.000 0.799
6 Li 0.500 0.500 0.000
7 Pm 0.000 0.000 0.500
8 Cd 0.500 0.500 0.365
9 Cd 0.500 0.500 0.635

***

# 3
A plane-wave DFT calculation with PBE-GGA was carried out for crystalline Li2Pm3Cd5 at its relaxed geometry.

Results
ΔH_f (0 K) (meV/atom): -280
E_tot (eV per atom): -2.55
Symmetry: P4/mbm

Unit cell a=10.711 b=10.711 c=4.196 alpha=90.00 beta=90.00 gamma=90.00
Positions (direct):
1 Li 0.114 0.386 0.000
2 Li 0.386 0.886 0.000
3 Li 0.614 0.114 0.000
4 Li 0.886 0.614 0.000
5 Pm 0.000 0.000 0.000
6 Pm 0.180 0.680 0.000
7 Pm 0.320 0.180 0.000
8 Pm 0.500 0.500 0.000
9 Pm 0.680 0.820 0.000
10 Pm 0.820 0.320 0.000
11 Cd 0.000 0.500 0.500
12 Cd 0.061 0.219 0.500
13 Cd 0.219 0.939 0.500
14 Cd 0.281 0.439 0.500
15 Cd 0.439 0.719 0.500
16 Cd 0.500 0.000 0.500
17 Cd 0.561 0.281 0.500
18 Cd 0.719 0.561 0.500
19 Cd 0.781 0.061 0.500
20 Cd 0.939 0.781 0.500